# AcGa5Ir2 | OQMD | PBE | relaxed
# **Mass density**: 10.3 g cm⁻³
# **Energy**: -5.199 eV/atom
# **SG**: Immm, No. 71
data_AcGa5Ir2
_symmetry_space_group_name_H-M 'P 1'
_symmetry_Int_Tables_number 1
_cell_length_a 6.6137
_cell_length_b 6.6137
_cell_length_c 6.6137
_cell_angle_alpha 143.27
_cell_angle_beta 113.18
_cell_angle_gamma 78.75
loop_
_symmetry_equiv_pos_as_xyz
'x,y,z'
loop_
_atom_site_label
_atom_site_fract_x
_atom_site_fract_y
_atom_site_fract_z
Ac1 0.0000 0.0000 0.0000
Ga1 0.5386 0.3452 0.1933
Ga2 0.8481 0.6548 0.1933
Ga3 0.5000 0.0000 0.5000
Ga4 0.1519 0.3452 0.8067
Ga5 0.4614 0.6548 0.8067
Ir1 0.7341 0.2341 0.5000
Ir2 0.2659 0.7659 0.5000

***

# AcLuGa | OQMD | PBE | relaxed
# **Mass density**: 8.0 g cm⁻³
# **Energy relative to the lowest polymorph listed for this composition**: 0 meV/atom
# **Energy**: -4.039 eV/atom
# **SG**: F-43m, No. 216
data_AcLuGa
_symmetry_space_group_name_H-M 'P 1'
_symmetry_Int_Tables_number 1
_cell_length_a 5.1696
_cell_length_b 5.1696
_cell_length_c 5.1696
_cell_angle_alpha 60.00
_cell_angle_beta 60.00
_cell_angle_gamma 60.00
loop_
_symmetry_equiv_pos_as_xyz
'x,y,z'
loop_
_atom_site_label
_atom_site_fract_x
_atom_site_fract_y
_atom_site_fract_z
Ac1 0.2500 0.2500 0.2500
Ga1 0.0000 0.0000 0.0000
Lu1 0.7500 0.7500 0.7500